Material: Pm2AlF8
Method: DFT, PBE
State: optimized geometry

Unit cell a=6.0162 b=6.0162 c=4.7537 alpha=105.73 beta=105.73 gamma=74.08
Fractional coordinates of all 11 atoms:
Pm  0.1572  0.1572  0.3028
Pm  0.8428  0.8428  0.6972
Al  0.5000  0.5000  0.0000
F  0.1097  0.1097  0.7534
F  0.1994  0.5623  0.7531
F  0.3808  0.3808  0.2168
F  0.4377  0.8006  0.2469
F  0.5623  0.1994  0.7531
F  0.6192  0.6192  0.7832
F  0.8006  0.4377  0.2469
F  0.8903  0.8903  0.2466

Values from the calculation:
uncorrected formation energy	-3648	meV/atom
size of the total moment	1.0	Bohr magnetons per cell

Material: Pm2AlF
Method: DFT, PBE
State: optimized geometry

Unit cell a=3.7249 b=3.7249 c=22.7338 alpha=90.00 beta=90.00 gamma=120.00
Fractional coordinates of all 12 atoms:
Pm  0.0000  0.0000  0.2362
Pm  0.0000  0.0000  0.7638
Pm  0.3333  0.6667  0.4305
Pm  0.3333  0.6667  0.9028
Pm  0.6667  0.3333  0.0972
Pm  0.6667  0.3333  0.5695
Al  0.0000  0.0000  0.0000
Al  0.3333  0.6667  0.6667
Al  0.6667  0.3333  0.3333
F  0.0000  0.0000  0.5000
F  0.3333  0.6667  0.1667
F  0.6667  0.3333  0.8333

Values from the calculation:
uncorrected formation energy	-1271	meV/atom
size of the total moment	0.0	Bohr magnetons per cell

Material: Pm2AlF
Method: DFT, PBE
State: optimized geometry

Unit cell a=3.2885 b=3.2885 c=7.9389 alpha=90.00 beta=90.00 gamma=90.00
Fractional coordinates of all 4 atoms:
Pm  0.0000  0.0000  0.2405
Pm  0.0000  0.0000  0.7595
Al  0.5000  0.5000  0.5000
F  0.5000  0.5000  0.0000

Values from the calculation:
uncorrected formation energy	-1162	meV/atom
size of the total moment	0.0	Bohr magnetons per cell

Material: PmAl2F8
Method: DFT, PBE
State: optimized geometry

Unit cell a=6.2478 b=6.2478 c=4.6865 alpha=95.38 beta=95.38 gamma=55.30
Fractional coordinates of all 11 atoms:
Pm  0.0000  0.0000  0.0000
Al  0.2731  0.2731  0.5130
Al  0.7269  0.7269  0.4870
F  0.0574  0.6159  0.6823
F  0.1789  0.1789  0.7955
F  0.3799  0.3799  0.2728
F  0.3841  0.9426  0.3177
F  0.6159  0.0574  0.6823
F  0.6201  0.6201  0.7272
F  0.8211  0.8211  0.2045
F  0.9426  0.3841  0.3177

Values from the calculation:
uncorrected formation energy	-3301	meV/atom
size of the total moment	0.9	Bohr magnetons per cell

Number 1: Fermi-level density of states 0.12 states/eV/cell. Number 2: Fermi-level density of states 5.88 states/eV/cell. Number 3: Fermi-level density of states 2.00 states/eV/cell. Number 4: Fermi-level density of states 1.77 states/eV/cell.